Below is a relaxed structure of Pm2NiIrO8, with properties calculated at the GGA+U level.

a = 4.144 Å, b = 5.370 Å, c = 6.893 Å
α = 83.13°, β = 93.74°, γ = 96.31°
Site moments in Bohr magnetons follow the coordinates.
Fractional positions:
O: 0.788 0.675 0.554  0.01
O: 0.219 0.948 0.766  -0.04
O: 0.700 0.717 0.957  0.02
O: 0.234 0.775 0.169  0.15
O: 0.766 0.225 0.831  0.15
O: 0.300 0.283 0.043  0.02
O: 0.781 0.052 0.234  -0.04
O: 0.212 0.325 0.446  0.01
Ir: 0.000 0.000 0.000  0.23
Pm: 0.313 0.518 0.734  0.01
Pm: 0.687 0.482 0.266  0.01
Ni: 0.000 0.000 0.500  1.55

Computed properties:
total magnetic moment	2.16	μB/cell
calculated volume	12.60	A^3/atom
total energy	-6.752	eV/atom
N(E_F)	4.6	states/eV/f.u.